DFT (PBE) results for a geometry-optimized SiNiTe structure.

Calculated values
**Formation energy without anion corrections**: 1.32 kcal/mol of atoms

The structure in CIF format:
```
data_SiNiTe
_chemical_formula_sum 'Si1 Ni1 Te1'
_symmetry_space_group_name_H-M 'P 1'
_symmetry_Int_Tables_number 1
_cell_length_a 4.299
_cell_length_b 4.299
_cell_length_c 4.299
_cell_angle_alpha 60.00
_cell_angle_beta 60.00
_cell_angle_gamma 60.00
loop_
_symmetry_equiv_pos_as_xyz
'x,y,z'
loop_
_atom_site_label
_atom_site_fract_x
_atom_site_fract_y
_atom_site_fract_z
Si1 0.000 0.000 0.000
Ni1 0.750 0.750 0.750
Te1 0.500 0.500 0.500
```

---

DFT (PBE) results for a geometry-optimized ZrCdCuHg structure.

Calculated values
**VASP energy**: -3.539 eV per atom

The structure in CIF format:
```
data_ZrCdCuHg
_chemical_formula_sum 'Zr1 Cd1 Cu1 Hg1'
_symmetry_space_group_name_H-M 'P 1'
_symmetry_Int_Tables_number 1
_cell_length_a 3.158
_cell_length_b 3.158
_cell_length_c 7.842
_cell_angle_alpha 90.00
_cell_angle_beta 90.00
_cell_angle_gamma 90.00
loop_
_symmetry_equiv_pos_as_xyz
'x,y,z'
loop_
_atom_site_label
_atom_site_fract_x
_atom_site_fract_y
_atom_site_fract_z
Zr1 0.000 0.000 0.000
Cd1 0.000 0.000 0.568
Cu1 0.500 0.500 0.781
Hg1 0.500 0.500 0.277
```

---

DFT (PBE) results for a geometry-optimized InSnSbI structure.

Calculated values
**Formation energy without anion corrections**: -3.77 kcal/mol of atoms

The structure in CIF format:
```
data_InSnSbI
_chemical_formula_sum 'In2 Sn2 Sb2 I2'
_symmetry_space_group_name_H-M 'P 1'
_symmetry_Int_Tables_number 1
_cell_length_a 14.739
_cell_length_b 14.739
_cell_length_c 14.739
_cell_angle_alpha 19.65
_cell_angle_beta 19.65
_cell_angle_gamma 19.65
loop_
_symmetry_equiv_pos_as_xyz
'x,y,z'
loop_
_atom_site_label
_atom_site_fract_x
_atom_site_fract_y
_atom_site_fract_z
In1 0.092 0.092 0.092
In2 0.908 0.908 0.908
Sn1 0.309 0.309 0.309
Sn2 0.691 0.691 0.691
Sb1 0.377 0.377 0.377
Sb2 0.623 0.623 0.623
I1 0.208 0.208 0.208
I2 0.792 0.792 0.792
```

---

DFT (PBE) results for a geometry-optimized ZnCu2Rh structure.

Calculated values
**VASP energy**: -4.245 eV per atom

The structure in CIF format:
```
data_ZnCu2Rh
_chemical_formula_sum 'Zn1 Cu2 Rh1'
_symmetry_space_group_name_H-M 'P 1'
_symmetry_Int_Tables_number 1
_cell_length_a 2.713
_cell_length_b 4.357
_cell_length_c 4.518
_cell_angle_alpha 90.00
_cell_angle_beta 94.07
_cell_angle_gamma 90.00
loop_
_symmetry_equiv_pos_as_xyz
'x,y,z'
loop_
_atom_site_label
_atom_site_fract_x
_atom_site_fract_y
_atom_site_fract_z
Zn1 0.000 0.000 0.000
Cu1 0.216 0.500 0.750
Cu2 0.784 0.500 0.250
Rh1 0.500 0.000 0.500
```